Here is CaLa4Y at its PBEsol-relaxed geometry from Alexandria. Energies are from meta-GGA SCAN.

Cell lengths 6.7273, 6.7273, 6.7273 Å; angles 60.00, 60.00, 60.00 degrees
Positions (direct):
Ca  0.0000  0.0000  0.0000
La  0.3785  0.3785  0.3785
La  0.3785  0.3785  0.8646
La  0.3785  0.8646  0.3785
La  0.8646  0.3785  0.3785
Y  0.7500  0.7500  0.7500

DFT formation energy: 174 meV per atom
DFT total energy: -34.813 eV per atom